Record 1
Below is an optimized crystal structure of La2RuBr, with properties calculated at the PBE level.

Output
calculated volume	492.3	Å³ per cell
raw formation energy	-2.981	eV/f.u.

Unit cell a=7.3993 b=17.0320 c=3.9063 alpha=90.00 beta=90.00 gamma=90.00
Sites, in units of the cell vectors:
La 0.2385 0.1076 0.2500
La 0.2385 0.8924 0.7500
La 0.2615 0.3924 0.7500
La 0.2615 0.6076 0.2500
La 0.7385 0.3924 0.7500
La 0.7385 0.6076 0.2500
La 0.7615 0.1076 0.2500
La 0.7615 0.8924 0.7500
Ru 0.0000 0.0597 0.7500
Ru 0.0000 0.9403 0.2500
Ru 0.5000 0.4403 0.2500
Ru 0.5000 0.5597 0.7500
Br 0.0000 0.2767 0.2500
Br 0.0000 0.7233 0.7500
Br 0.5000 0.2233 0.7500
Br 0.5000 0.7767 0.2500

Record 2
Below is an optimized crystal structure of LiMnRu, with properties calculated at the PBE level.

Output
calculated volume	72.9	Å³ per cell
ΔE_f	0.65	eV/f.u.

Unit cell a=2.8891 b=2.8891 c=8.7385 alpha=90.00 beta=90.00 gamma=90.00
Sites, in units of the cell vectors:
Li 0.0000 0.0000 0.0000
Li 0.5000 0.5000 0.5000
Mn 0.0000 0.0000 0.3286
Mn 0.5000 0.5000 0.8286
Ru 0.0000 0.0000 0.6812
Ru 0.5000 0.5000 0.1812

Record 3
Below is an optimized crystal structure of LiP2Pd6, with properties calculated at the PBE level.

Output
calculated volume	131.7	Å³ per cell
ΔE_f	-4.08	eV/f.u.

Unit cell a=4.9011 b=4.9011 c=7.9217 alpha=116.18 beta=116.18 gamma=52.63
Sites, in units of the cell vectors:
Li 0.0000 0.0000 0.0000
P 0.3251 0.3251 0.7351
P 0.6749 0.6749 0.2649
Pd 0.0457 0.0457 0.6920
Pd 0.3073 0.3073 0.4208
Pd 0.3702 0.3702 0.0618
Pd 0.6298 0.6298 0.9382
Pd 0.6927 0.6927 0.5792
Pd 0.9543 0.9543 0.3080

Record 4
Below is an optimized crystal structure of Nd4ThIn3, with properties calculated at the PBE level.

Output
calculated volume	240.0	Å³ per cell
ΔE_f	-2.48	eV/f.u.

Unit cell a=3.6975 b=5.6268 c=11.5375 alpha=90.00 beta=90.00 gamma=90.00
Sites, in units of the cell vectors:
Nd 0.0000 0.0000 0.0000
Nd 0.0000 0.0000 0.5000
Nd 0.0000 0.5000 0.2415
Nd 0.0000 0.5000 0.7585
Th 0.5000 0.5000 0.5000
In 0.5000 0.0000 0.2570
In 0.5000 0.0000 0.7430
In 0.5000 0.5000 0.0000

Number 1: VASP energy -5.95 eV/atom. Number 2: VASP energy -6.57 eV/atom. Number 3: VASP energy -5.33 eV/atom. Number 4: VASP energy -4.65 eV/atom.